1.
A plane-wave DFT calculation with PBE was carried out for a geometry-optimized AlSbTe2Pb structure.

Calculated values
The magnetization is 0.0 Bohr magnetons per cell. For the theoretical density, the calculation gives 6.556 g/cm3. The raw formation energy is 160 meV per atom. The value obtained for the volume is 30.960 Å³ per atom. As for the offset from the most stable computed form: 0.000 eV per atom.

a b c (Å): 5.392 5.392 5.325
angles (deg): 90.00 90.00 90.00
Space group P4/mmm (No. 123)
One atom of each set of equivalent atoms:
Al 0.000 0.000 0.000 x1
Sb 0.000 0.000 0.500 x1
Te 0.000 0.500 0.000 x2
Pb 0.500 0.500 0.500 x1

2.
A plane-wave DFT calculation with PBE was carried out for a geometry-optimized Sr2Cd2Br structure.

Calculated values
The magnetization is 0.0 Bohr magnetons per cell. For the theoretical density, the calculation gives 4.355 g/cm3. The raw formation energy is -654 meV per atom. The value obtained for the volume is 36.602 Å³ per atom. As for the offset from the most stable computed form: 0.000 eV per atom.

a b c (Å): 8.773 8.773 4.755
angles (deg): 90.00 90.00 90.00
Space group P4/mbm (No. 127)
One atom of each set of equivalent atoms:
Sr 0.182 0.318 0.000 x4
Cd 0.116 0.616 0.500 x4
Br 0.000 0.000 0.000 x2

3.
A plane-wave DFT calculation with PBE was carried out for a geometry-optimized FeSb2Cl structure.

Calculated values
The magnetization is 2.9 Bohr magnetons per cell. For the theoretical density, the calculation gives 5.939 g/cm3. The raw formation energy is 529 meV per atom. The value obtained for the volume is 23.405 Å³ per atom. As for the offset from the most stable computed form: 0.611 eV per atom.

a b c (Å): 4.225 4.225 5.244
angles (deg): 90.00 90.00 90.00
Space group P4/mmm (No. 123)
One atom of each set of equivalent atoms:
Fe 0.000 0.000 0.000 x1
Sb 0.000 0.500 0.500 x2
Cl 0.500 0.500 0.000 x1

4.
A plane-wave DFT calculation with PBE was carried out for a geometry-optimized CeTl3Cd2Se6 structure.

Calculated values
The magnetization is 0.0 Bohr magnetons per cell. For the theoretical density, the calculation gives 7.167 g/cm3. The raw formation energy is -708 meV per atom. The value obtained for the volume is 28.032 Å³ per atom.

a b c (Å): 7.218 12.514 7.833
angles (deg): 90.00 108.03 90.00
Space group C2/m (No. 12)
One atom of each set of equivalent atoms:
Ce 0.000 0.000 0.000 x2
Tl 0.000 0.164 0.500 x4
Tl 0.000 0.500 0.500 x2
Cd 0.000 0.333 0.000 x4
Se 0.237 0.500 0.214 x4
Se 0.239 0.167 0.216 x8